(1)
A geometry-optimized Pm6OsAu2 structure. Source: Alexandria, functional PBE-GGA.

The space group is P2_1/c (No. 14) and the conventional cell measures 6.883, 7.577 and 12.266 Å, with angles of 90.00, 121.40 and 90.00 degrees. The asymmetric unit holds Pm at (0.107, 0.035, 0.251), Pm at (0.242, 0.683, 0.068), Pm at (0.391, 0.186, 0.063), Os at (0.000, 0.000, 0.000) and Au at (0.318, 0.110, 0.762).

***

(2)
A geometry-optimized Pm8Os3Au2 structure. Source: Alexandria, functional PBE-GGA.

The space group is P2/m (No. 10) and the conventional cell measures 8.836, 4.965 and 8.843 Å, with angles of 90.00, 111.30 and 90.00 degrees. The asymmetric unit holds Pm at (0.113, 0.000, 0.388), Pm at (0.139, 0.500, 0.867), Pm at (0.369, 0.500, 0.639), Pm at (0.382, 0.000, 0.117), Os at (0.250, 0.000, 0.750), Os at (0.500, 0.500, 0.000) and Au at (0.243, 0.500, 0.256).

***

Number 1: ΔE_f -0.380 eV/atom. Number 2: ΔE_f -0.272 eV/atom.